1.
A plane-wave DFT calculation with PBE was carried out for a relaxed Ba2TlCoIr crystal.

The space group is P4/mmm (No. 123) and the conventional cell measures 6.4901, 6.4901 and 5.0074 Å, with angles of 90.00, 90.00 and 90.00 degrees. Symmetry generates all atoms from Ba at (0.0000, 0.5000, 0.0000), Tl at (0.0000, 0.0000, 0.0000), Co at (0.5000, 0.5000, 0.5000) and Ir at (0.0000, 0.0000, 0.5000).

The electronic total energy comes out at -3.481 eV per atom. As for the formation energy: 22.01 kcal/mol of atoms. Its crystal system is tetragonal.

2.
A plane-wave DFT calculation with PBE was carried out for a relaxed LiCrI2 crystal.

The space group is I-42d (No. 122) and the conventional cell measures 6.4390, 6.4390 and 13.1106 Å, with angles of 90.00, 90.00 and 90.00 degrees. Symmetry generates all atoms from Li at (0.0000, 0.0000, 0.0000), Cr at (0.0000, 0.0000, 0.5000) and I at (0.2457, 0.2500, 0.1250).

The electronic total energy comes out at -4.096 eV per atom. The value obtained for the uncorrected formation energy is -0.436 eV/atom. Its crystal system is tetragonal.

3.
A plane-wave DFT calculation with PBE was carried out for a relaxed Na3Ac2PmTe6 crystal.

The space group is C2/m (No. 12) and the conventional cell measures 20.3070, 4.6964 and 9.3140 Å, with angles of 90.00, 102.43 and 90.00 degrees. Symmetry generates all atoms from Na at (0.0000, 0.0000, 0.0000), Na at (0.1667, 0.5000, 0.3323), Ac at (0.1650, 0.5000, 0.8286), Pm at (0.0000, 0.0000, 0.5000), Te at (0.0015, 0.5000, 0.2655), Te at (0.1612, 0.0000, 0.5758) and Te at (0.1663, 0.0000, 0.0830).

The electronic total energy comes out at -4.349 eV per atom. The value obtained for the uncorrected formation energy is -1.368 eV/atom. Its crystal system is monoclinic.

4.
A plane-wave DFT calculation with PBE was carried out for a relaxed VS3Cl crystal.

The space group is Pm-3m (No. 221) and the conventional cell measures 4.6060, 4.6060 and 4.6060 Å, with angles of 90.00, 90.00 and 90.00 degrees. Symmetry generates all atoms from V at (0.0000, 0.0000, 0.0000), S at (0.0000, 0.5000, 0.5000) and Cl at (0.5000, 0.5000, 0.5000).

The electronic total energy comes out at -3.565 eV per atom. The value obtained for the uncorrected formation energy is 1.105 eV/atom. Its crystal system is cubic.

5.
A plane-wave DFT calculation with PBE was carried out for a relaxed CrC2 crystal.

The space group is R3m (No. 160, hexagonal axes) and the conventional cell measures 3.3715, 3.3715 and 9.3351 Å, with angles of 90.00, 90.00 and 120.00 degrees. Symmetry generates all atoms from Cr at (0.0000, 0.0000, 0.0000), C at (0.0000, 0.0000, 0.1980) and C at (0.0000, 0.0000, 0.3446).

The electronic total energy comes out at -8.410 eV per atom. As for the formation energy: 21.85 kcal/mol of atoms. Its crystal system is trigonal.

6.
A plane-wave DFT calculation with PBE was carried out for a relaxed Nd2YS2O2 crystal.

The space group is I4/mmm (No. 139) and the conventional cell measures 4.2904, 4.2904 and 15.0413 Å, with angles of 90.00, 90.00 and 90.00 degrees. Symmetry generates all atoms from Nd at (0.0000, 0.0000, 0.1336), Y at (0.0000, 0.0000, 0.5000), S at (0.0000, 0.0000, 0.3205) and O at (0.0000, 0.5000, 0.0000).

The electronic total energy comes out at -7.305 eV per atom. The value obtained for the uncorrected formation energy is -2.423 eV/atom. Its crystal system is tetragonal.

7.
A plane-wave DFT calculation with PBE was carried out for a relaxed TbPrCuOs crystal.

The space group is F-43m (No. 216) and the conventional cell measures 7.0209, 7.0209 and 7.0209 Å, with angles of 90.00, 90.00 and 90.00 degrees. Symmetry generates all atoms from Tb at (0.0000, 0.0000, 0.0000), Pr at (0.0000, 0.0000, 0.5000), Cu at (0.2500, 0.2500, 0.2500) and Os at (0.2500, 0.2500, 0.7500).

The electronic total energy comes out at -6.302 eV per atom. As for the formation energy: -2.72 kcal/mol of atoms. Its crystal system is cubic.

8.
A plane-wave DFT calculation with PBE was carried out for a relaxed AlIr3Au crystal.

The space group is Pm-3m (No. 221) and the conventional cell measures 4.8496, 4.8496 and 4.8496 Å, with angles of 90.00, 90.00 and 90.00 degrees. Symmetry generates all atoms from Al at (0.0000, 0.0000, 0.0000), Ir at (0.0000, 0.5000, 0.5000) and Au at (0.5000, 0.5000, 0.5000).

The electronic total energy comes out at -4.559 eV per atom. As for the formation energy: 49.84 kcal/mol of atoms. Its crystal system is cubic.